Mg2SbO (PBE-GGA, optimized geometry); crystal system = tetragonal; formation energy without anion corrections = -1.26 eV/atom; total magnetic moment = 0.00 μB/f.u.
1.0
-3.0600 3.0600 4.2154
3.0600 -3.0600 4.2154
3.0600 3.0600 -4.2154
Mg Sb O
4 2 2
Cartesian
0.7172 1.5300 1.0539
-1.5300 2.3429 3.1616
-0.7172 4.5901 1.0539
1.5300 3.7772 3.1616
3.0600 0.0000 2.1077
0.0000 0.0000 4.2154
0.0000 0.0000 0.0000
0.0000 3.0600 2.1077

=====

MgSb2O4 (PBE-GGA, optimized geometry); crystal system = triclinic; formation energy without anion corrections = -1.50 eV/atom; total magnetic moment = 0.00 μB/f.u.
1.0
6.8393 0.0000 0.0000
-3.2198 6.0415 0.0000
-3.2324 -2.1608 5.6493
Mg Sb O
2 4 8
Cartesian
0.0000 0.0000 0.0000
0.1857 -0.1147 4.2357
-1.7320 3.0121 1.5943
-2.9809 2.4233 4.9808
1.5595 2.5402 2.2629
3.9166 -0.2302 2.4614
-1.5582 4.8272 0.4722
-1.4467 0.5855 3.3941
-0.0134 1.8839 0.9627
-3.1763 3.9985 3.8885
1.5775 1.0633 3.5016
1.7710 5.2751 0.6729
3.8019 2.0954 0.5124
0.5806 3.9649 3.5446